This record from the Alexandria database describes a geometry-optimized KRbSnI4 structure. The functional is PBE.

Cell and atoms, written as POSCAR:
```
KRbSnI4
1.0
6.2170 0.0000 0.0000
0.0000 6.2170 0.0000
-3.1085 -3.1085 9.2022
I Sn K Rb
4 1 1 1
direct
0.9974 0.4974 0.9947
0.8308 0.8308 0.6616
0.1741 0.1741 0.3482
0.4974 0.9974 0.9947
0.0006 0.0006 0.0011
0.3635 0.3635 0.7269
0.6364 0.6364 0.2727
```

Summary:
E_form (uncorrected) = -1.024 eV/atom
Space group = I4mm
Total magnetic moment = 0.000 μB/f.u.


This record from the Alexandria database describes a geometry-optimized Ho4SnTeSe2 structure. The functional is PBE.

Cell and atoms, written as POSCAR:
```
Ho4SnTeSe2
1.0
4.2093 0.0000 0.0000
0.0000 7.2937 -0.1431
0.0000 2.5687 6.8591
Te Ho Sn Se
1 4 1 2
direct
0.0000 0.5000 0.5000
0.5000 0.7694 0.2338
0.0000 0.2379 0.2476
0.0000 0.7621 0.7524
0.5000 0.2306 0.7662
0.5000 0.5000 0.0000
0.5000 0.0000 0.5000
0.0000 0.0000 0.0000
```

Summary:
E_form (uncorrected) = -1.371 eV/atom
Space group = P2/m
Total magnetic moment = 0.000 μB/f.u.


This record from the Alexandria database describes a geometry-optimized TaPRh structure. The functional is PBE.

Cell and atoms, written as POSCAR:
```
TaPRh
1.0
-0.0099 -2.2877 3.3874
-2.8668 -2.8666 0.5218
1.0055 -3.9568 -0.2030
Rh P Ta
1 1 1
direct
0.0000 0.0000 0.0000
0.2500 0.2500 0.2500
0.5000 0.5000 0.5000
```

Summary:
E_form = -0.3821 eV per atom
Space group = F-43m
Total magnetic moment = 0.000 μB/f.u.


This record from the Alexandria database describes a geometry-optimized PmPr5Y2 structure. The functional is PBE.

Cell and atoms, written as POSCAR:
```
PmPr5Y2
1.0
-4.3918 -2.6830 0.6666
0.9884 0.1876 7.2668
-7.5621 12.5533 0.7046
Pm Y Pr
2 4 10
direct
0.0000 0.5000 0.0000
0.0000 0.0000 0.5000
0.5000 0.7496 0.3756
0.5000 0.7504 0.8756
0.5000 0.2496 0.1244
0.5000 0.2504 0.6244
0.5000 0.7488 0.1246
0.0000 0.5000 0.5000
0.0000 0.5008 0.7506
0.0000 0.4992 0.2494
0.0000 0.0008 0.7494
0.5000 0.2512 0.8754
0.5000 0.7512 0.6246
0.0000 0.9992 0.2506
0.5000 0.2488 0.3754
0.0000 0.0000 0.0000
```

Summary:
Offset from the most stable computed form = 0 meV/atom
E_form = 0.0094 eV per atom
Space group = Pbam
Total magnetic moment = 0.000 μB/f.u.


This record from the Alexandria database describes a geometry-optimized AcCeNd2 structure. The functional is PBE.

Cell and atoms, written as POSCAR:
```
AcCeNd2
1.0
3.6273 0.0000 0.0000
1.8136 3.1413 0.0000
1.8136 1.0471 12.8644
Ce Nd Ac
1 2 1
direct
0.0000 0.0000 0.0000
0.9133 0.9133 0.2602
0.0867 0.0867 0.7398
0.5000 0.5000 0.5000
```

Summary:
Offset from the most stable computed form = 159 meV/atom
E_form = 0.2569 eV per atom
Space group = R-3m
Total magnetic moment = 1.275 μB/f.u.


This record from the Alexandria database describes a geometry-optimized Cs2SbSCl3 structure. The functional is PBE.

Cell and atoms, written as POSCAR:
```
Cs2SbSCl3
1.0
-4.5479 -1.9923 1.6133
0.9105 -4.5499 -3.0518
5.8735 -0.4785 7.5192
Cs Cl S Sb
2 3 1 1
direct
0.3598 0.3598 0.7196
0.6402 0.6402 0.2804
0.8432 0.8432 0.6865
0.0000 0.5000 0.0000
0.1568 0.1568 0.3135
0.5000 0.0000 0.0000
0.0000 0.0000 0.0000
```

Summary:
E_form (uncorrected) = -1.294 eV/atom
Space group = Immm
Total magnetic moment = 0.000 μB/f.u.


This record from the Alexandria database describes a geometry-optimized DyYTe2 structure. The functional is PBE.

Cell and atoms, written as POSCAR:
```
DyYTe2
1.0
5.3585 0.0000 0.0000
2.6792 4.6406 0.0000
2.6792 1.5469 4.3752
Te Y Dy
2 1 1
direct
0.7500 0.7500 0.7500
0.2500 0.2500 0.2500
0.5000 0.5000 0.5000
0.0000 0.0000 0.0000
```

Summary:
Offset from the most stable computed form = 145 meV/atom
E_form (uncorrected) = -1.174 eV/atom
Space group = Fm-3m
Total magnetic moment = 1.367 μB/f.u.


This record from the Alexandria database describes a geometry-optimized TbEr2TmSe4 structure. The functional is PBE.

Cell and atoms, written as POSCAR:
```
TbEr2TmSe4
1.0
-2.6321 -1.0517 -2.8141
4.4793 -4.8287 -2.3851
-1.1926 -6.0917 3.3919
Se Tb Er Tm
4 1 2 1
direct
0.5000 0.2496 0.7466
0.0000 0.7531 0.7455
0.5000 0.7504 0.2534
0.0000 0.2469 0.2545
0.5000 0.5000 0.0000
0.5000 0.0000 0.5000
0.0000 0.0000 0.0000
0.0000 0.5000 0.5000
```

Summary:
E_form (uncorrected) = -1.701 eV/atom
Space group = P2/m
Total magnetic moment = 0.000 μB/f.u.


This record from the Alexandria database describes a geometry-optimized BaNaRe2C structure. The functional is PBE.

Cell and atoms, written as POSCAR:
```
BaNaRe2C
1.0
-2.5317 -0.7547 -4.2390
3.0181 -3.2403 -1.2257
-2.7881 -3.4599 2.2812
Ba Re Na C
1 2 1 1
direct
0.5000 0.5000 0.5000
0.5000 0.0000 0.0000
0.0000 0.0000 0.5000
0.0000 0.0000 0.0000
0.0000 0.5000 0.0000
```

Summary:
E_form = 3.0445 eV per atom
Space group = P4/mmm
Total magnetic moment = 5.109 μB/f.u.


This record from the Alexandria database describes a geometry-optimized TbPm6PrSm2 structure. The functional is PBE.

Cell and atoms, written as POSCAR:
```
TbPm6PrSm2
1.0
-0.1269 9.8905 0.3633
3.5380 -0.3700 -8.2140
-8.8723 -0.8609 0.8162
Pm Sm Tb Pr
12 4 2 2
direct
0.3152 0.9766 0.4256
0.0558 0.1183 0.7509
0.8786 0.2935 0.5010
0.1214 0.7065 0.4990
0.4442 0.2491 0.8817
0.1848 0.5744 0.0234
0.8152 0.4256 0.9766
0.5558 0.7509 0.1183
0.3786 0.5010 0.2935
0.9442 0.8817 0.2491
0.6214 0.4990 0.7065
0.6848 0.0234 0.5744
0.9574 0.7089 0.8093
0.0426 0.2911 0.1907
0.5426 0.1907 0.2911
0.4574 0.8093 0.7089
0.2500 0.9783 0.0217
0.7500 0.0217 0.9783
0.7500 0.5949 0.4051
0.2500 0.4051 0.5949
```

Summary:
E_form = 0.1168 eV per atom
Space group = C2/c
Total magnetic moment = 0.000 μB/f.u.


This record from the Alexandria database describes a geometry-optimized LaNdHg4 structure. The functional is PBE.

Cell and atoms, written as POSCAR:
```
LaNdHg4
1.0
4.7818 -0.0084 1.7447
2.4017 5.6318 0.8006
0.4731 -1.1203 6.0537
Hg Nd La
4 1 1
direct
0.7512 0.5818 0.9156
0.2488 0.0844 0.4182
0.2488 0.4182 0.0844
0.7512 0.9156 0.5818
0.5000 0.5000 0.5000
0.0000 0.0000 0.0000
```

Summary:
Offset from the most stable computed form = 0 meV/atom
E_form = -0.4609 eV per atom
Space group = C2/m
Total magnetic moment = 0.000 μB/f.u.


This record from the Alexandria database describes a geometry-optimized SrReGe3 structure. The functional is PBE.

Cell and atoms, written as POSCAR:
```
SrReGe3
1.0
4.9148 0.0000 0.0000
0.0000 4.9148 0.0000
0.0000 0.0000 4.9148
Sr Ge Re
1 3 1
direct
0.5000 0.5000 0.5000
0.5000 0.0000 0.0000
0.0000 0.5000 0.0000
0.0000 0.0000 0.5000
0.0000 0.0000 0.0000
```

Summary:
Offset from the most stable computed form = 0 meV/atom
E_form = 0.0305 eV per atom
Space group = Pm-3m
Total magnetic moment = 0.000 μB/f.u.


This record from the Alexandria database describes a geometry-optimized Pr3GaPd12 structure. The functional is PBE.

Cell and atoms, written as POSCAR:
```
Pr3GaPd12
1.0
-3.3000 0.8105 -2.4622
-2.0971 -3.1775 1.7648
-5.8954 10.1315 11.2365
Pd Pr Ga
12 3 1
direct
0.5000 0.5000 0.2384
0.5000 0.0000 0.6304
0.0000 0.5000 0.6304
0.0000 0.5000 0.1071
0.0000 0.5000 0.8929
0.5000 0.5000 0.5000
0.5000 0.5000 0.7616
0.5000 0.0000 0.8929
0.5000 0.0000 0.1071
0.0000 0.5000 0.3696
0.5000 0.0000 0.3696
0.5000 0.5000 0.0000
0.0000 0.0000 0.5000
0.0000 0.0000 0.2390
0.0000 0.0000 0.7610
0.0000 0.0000 0.0000
```

Summary:
E_form = -0.6636 eV per atom
Space group = P4/mmm
Total magnetic moment = 0.000 μB/f.u.


This record from the Alexandria database describes a geometry-optimized Pr4Nd2H2Pb3 structure. The functional is PBE.

Cell and atoms, written as POSCAR:
```
Pr4Nd2H2Pb3
1.0
-0.2009 4.1672 -2.4993
1.0514 -2.4049 -4.0943
-13.3302 -2.8109 1.1164
H Pb Nd Pr
2 3 2 4
direct
0.6055 0.6055 0.2109
0.3945 0.3945 0.7891
0.1763 0.1763 0.3526
0.8237 0.8237 0.6474
0.0000 0.0000 0.0000
0.3003 0.3003 0.6006
0.6997 0.6997 0.3994
0.0837 0.5837 0.1673
0.9163 0.4163 0.8327
0.4163 0.9163 0.8327
0.5837 0.0837 0.1673
```

Summary:
Raw total energy = -51.3 eV for the cell shown
Space group = I4/mmm
Total magnetic moment = 0.002 μB/f.u.


This record from the Alexandria database describes a geometry-optimized SrSiTe structure. The functional is PBE.

Cell and atoms, written as POSCAR:
```
SrSiTe
1.0
5.2717 0.0000 0.0000
2.6359 4.5655 0.0000
2.6359 1.5218 4.3044
Te Si Sr
1 1 1
direct
0.0000 0.0000 0.0000
0.5000 0.5000 0.5000
0.7500 0.7500 0.7500
```

Summary:
Offset from the most stable computed form = 468 meV/atom
E_form (uncorrected) = 0.023 eV/atom
Space group = F-43m
Total magnetic moment = 0.000 μB/f.u.


This record from the Alexandria database describes a geometry-optimized Sr2YCl structure. The functional is PBE.

Cell and atoms, written as POSCAR:
```
Sr2YCl
1.0
10.8171 0.0009 0.0005
10.0811 3.9220 0.0005
10.0811 1.8923 3.4353
Sr Cl Y
2 1 1
direct
0.0131 0.0131 0.0131
0.4869 0.4869 0.4869
0.7500 0.7500 0.7500
0.2500 0.2500 0.2500
```

Summary:
Offset from the most stable computed form = 0 meV/atom
E_form (uncorrected) = -0.745 eV/atom
Space group = R-3m
Total magnetic moment = 0.814 μB/f.u.


This record from the Alexandria database describes a geometry-optimized CaTlAg structure. The functional is PBE.

Cell and atoms, written as POSCAR:
```
CaTlAg
1.0
5.9196 0.0878 1.2510
3.5132 2.9416 0.2315
-1.0564 0.8634 4.9008
Ca Ag Tl
1 1 1
direct
0.0000 0.0000 0.5000
0.5000 0.5000 0.0000
0.0000 0.5000 0.0000
```

Summary:
E_form = -0.0805 eV per atom
Space group = P-1
Total magnetic moment = 0.000 μB/f.u.


This record from the Alexandria database describes a geometry-optimized ZrTeAuI2 structure. The functional is PBE.

Cell and atoms, written as POSCAR:
```
ZrTeAuI2
1.0
-2.6279 4.7954 0.3609
-0.9627 -0.1216 -5.3936
-4.7911 -2.6945 0.9160
Te I Au Zr
1 2 1 1
direct
0.0000 0.0000 0.5000
0.5000 0.0000 0.0000
0.0000 0.5000 0.0000
0.0000 0.0000 0.0000
0.5000 0.5000 0.5000
```

Summary:
Offset from the most stable computed form = 541 meV/atom
E_form (uncorrected) = 0.549 eV/atom
Space group = P4/mmm
Total magnetic moment = 1.832 μB/f.u.


This record from the Alexandria database describes a geometry-optimized SnRh2 structure. The functional is PBE.

Cell and atoms, written as POSCAR:
```
SnRh2
1.0
-4.8088 1.8264 -1.2274
-1.5196 0.2555 -5.0589
-3.7008 -3.3106 -1.8197
Rh Sn
4 2
direct
0.6250 0.6250 0.1250
0.6250 0.1250 0.6250
0.1250 0.6250 0.6250
0.6250 0.6250 0.6250
0.2500 0.2500 0.2500
0.0000 0.0000 0.0000
```

Summary:
E_form = 0.0148 eV per atom
Space group = Fd-3m
Total magnetic moment = 0.000 μB/f.u.


This record from the Alexandria database describes a geometry-optimized Y2Ag2Pt15 structure. The functional is PBE.

Cell and atoms, written as POSCAR:
```
Y2Ag2Pt15
1.0
-2.4600 3.0781 -5.7835
-6.2031 -3.2390 -0.0744
-3.6007 5.0554 3.2331
Pt Ag Y
15 2 2
direct
0.0000 0.0000 0.5000
0.0000 0.3211 0.6789
0.6579 0.6579 0.1667
0.5000 0.0000 0.0000
0.6789 0.3211 0.0000
0.3211 0.0000 0.6789
0.1667 0.6579 0.6579
0.3211 0.6789 0.0000
0.8333 0.3421 0.3421
0.6579 0.1667 0.6579
0.6789 0.0000 0.3211
0.3421 0.3421 0.8333
0.0000 0.5000 0.0000
0.3421 0.8333 0.3421
0.0000 0.6789 0.3211
0.1011 0.1011 0.1011
0.8989 0.8989 0.8989
0.6513 0.6513 0.6513
0.3487 0.3487 0.3487
```

Summary:
E_form = -0.4203 eV per atom
Space group = R-3m
Total magnetic moment = 0.000 μB/f.u.


This record from the Alexandria database describes a geometry-optimized ZrRuSe2 structure. The functional is PBE.

Cell and atoms, written as POSCAR:
```
ZrRuSe2
1.0
-1.3875 -4.0425 0.8986
3.2493 -0.8207 1.3252
-1.8236 1.8768 5.6279
Se Ru Zr
2 1 1
direct
0.5000 0.3747 0.3553
0.0000 0.8753 0.9063
0.5000 0.8750 0.6401
0.0000 0.3750 0.5983
```

Summary:
Offset from the most stable computed form = 17 meV/atom
E_form (uncorrected) = -0.685 eV/atom
Space group = Pmm2
Total magnetic moment = 0.000 μB/f.u.


This record from the Alexandria database describes a geometry-optimized CaSbTe2N structure. The functional is PBE.

Cell and atoms, written as POSCAR:
```
CaSbTe2N
1.0
-4.7052 -3.0239 -1.7175
3.1085 -4.9526 0.2041
-1.5714 -0.7542 5.6329
N Te Ca Sb
1 2 1 1
direct
0.5000 0.5000 0.5000
0.5000 0.0000 0.0000
0.0000 0.5000 0.0000
0.0000 0.0000 0.0000
0.0000 0.0000 0.5000
```

Summary:
Offset from the most stable computed form = 1148 meV/atom
E_form (uncorrected) = 1.228 eV/atom
Space group = P4/mmm
Total magnetic moment = 2.704 μB/f.u.


This record from the Alexandria database describes a geometry-optimized Pm2Tl3BiSe6 structure. The functional is PBE.

Cell and atoms, written as POSCAR:
```
Pm2Tl3BiSe6
1.0
7.4521 -0.0020 -0.0004
-3.7260 6.4538 -0.0004
-1.2431 -2.1524 7.7269
Bi Se Tl Pm
1 6 3 2
direct
0.0000 0.0000 0.0000
0.7359 0.7359 0.2122
0.9298 0.5949 0.7894
0.0702 0.4051 0.2106
0.2641 0.2641 0.7878
0.5949 0.9298 0.7894
0.4051 0.0702 0.2106
0.8321 0.1679 0.5000
0.1679 0.8321 0.5000
0.5000 0.5000 0.5000
0.6666 0.3334 0.0000
0.3334 0.6666 0.0000
```

Summary:
E_form (uncorrected) = -1.071 eV/atom
Space group = C2/m
Total magnetic moment = 0.000 μB/f.u.


This record from the Alexandria database describes a geometry-optimized Cs2Pa3GaO12 structure. The functional is PBE.

Cell and atoms, written as POSCAR:
```
Cs2Pa3GaO12
1.0
7.7103 -0.1985 -0.1408
3.6351 6.8025 -0.1408
3.6351 2.1159 6.4666
O Cs Pa Ga
12 2 3 1
direct
0.6791 0.0533 0.6791
0.9435 0.2945 0.9435
0.2945 0.9435 0.9435
0.9467 0.3209 0.3209
0.9435 0.9435 0.2945
0.0565 0.0565 0.7055
0.3209 0.3209 0.9467
0.6791 0.6791 0.0533
0.7055 0.0565 0.0565
0.3209 0.9467 0.3209
0.0533 0.6791 0.6791
0.0565 0.7055 0.0565
0.3677 0.3677 0.3677
0.6323 0.6323 0.6323
0.0000 0.0000 0.5000
0.5000 0.0000 0.0000
0.0000 0.5000 0.0000
0.0000 0.0000 0.0000
```

Summary:
E_form (uncorrected) = -2.470 eV/atom
Space group = R-3m
Total magnetic moment = 3.858 μB/f.u.